# PmHfCrO6 GGA+U relaxed
data_PmHfCrO6
_cell_length_a 4.891
_cell_length_b 4.891
_cell_length_c 9.766
_cell_angle_alpha 90.00
_cell_angle_beta 90.00
_cell_angle_gamma 90.00
_space_group_name_H-M_alt 'P 1'
_space_group_IT_number 1
_space_group_name_Hall 'P 1'
loop_
_atom_site_label
_atom_site_type_symbol
_atom_site_fract_x
_atom_site_fract_y
_atom_site_fract_z
Pm1 Pm 0.000 0.000 0.000
Pm2 Pm 0.500 0.500 0.500
Hf1 Hf 0.000 0.000 0.651
Hf2 Hf 0.500 0.500 0.151
Cr1 Cr 0.000 0.000 0.328
Cr2 Cr 0.500 0.500 0.828
O1 O 0.174 0.174 0.478
O2 O 0.209 0.209 0.180
O3 O 0.237 0.237 0.801
O4 O 0.263 0.737 0.301
O5 O 0.291 0.709 0.680
O6 O 0.326 0.674 0.978
O7 O 0.674 0.326 0.978
O8 O 0.709 0.291 0.680
O9 O 0.737 0.263 0.301
O10 O 0.763 0.763 0.801
O11 O 0.791 0.791 0.180
O12 O 0.826 0.826 0.478
# E_tot   -8.27 eV per atom